Record 1
A plane-wave DFT calculation with PBE was carried out for crystalline LiZrHg2 at its relaxed geometry.

Lattice parameters (Å, degrees): 10.1325 10.1325 10.1325 17.73 17.73 17.73
With the nearest neighbours (Å) after each atom.
Atoms (fractional coordinates):
Zr  0.7500  0.7500  0.7500  6 Zr 3.12, 6 Hg 3.20
Hg  0.9949  0.9949  0.9949  3 Li 2.96, 6 Hg 3.12, 3 Zr 3.20
Hg  0.5051  0.5051  0.5051  3 Li 2.96, 6 Hg 3.12, 3 Zr 3.20
Li  0.2500  0.2500  0.2500  6 Hg 2.96, 6 Li 3.12

E_form, eV/atom: -0.1046
SG: R-3m (166)

=====

Record 2
A plane-wave DFT calculation with PBE was carried out for crystalline ScBiS2 at its relaxed geometry.

Lattice parameters (Å, degrees): 8.4591 5.6325 5.6325 95.14 121.25 58.75
With the nearest neighbours (Å) after each atom.
Atoms (fractional coordinates):
S  0.1694  0.1338  0.1030  2 Sc 2.53-2.58
S  0.8306  0.8662  0.8970  2 Sc 2.53-2.58
S  0.6694  0.3970  0.3662  2 Sc 2.53-2.58
S  0.3306  0.6030  0.6338  2 Sc 2.53-2.58
Bi  0.7500  0.8123  0.3123  4 S 2.83-3.02
Bi  0.2500  0.1877  0.6877  4 S 2.83-3.02
Sc  0.2500  0.6344  0.1344  4 S 2.53-2.58
Sc  0.7500  0.3656  0.8656  4 S 2.53-2.58

SG: C2/c (15)
E_form (uncorrected), eV per atom: -0.9161

=====

Record 3
A plane-wave DFT calculation with PBE was carried out for crystalline RbCdHg4 at its relaxed geometry.

Lattice parameters (Å, degrees): 5.8591 7.9885 8.9106 90.00 109.19 90.00
With the nearest neighbours (Å) after each atom.
Atoms (fractional coordinates):
Cd  0.1308  0.7500  0.2615  6 Hg 2.95-2.97
Cd  0.8692  0.2500  0.7385  6 Hg 2.95-2.97
Rb  0.3924  0.7500  0.7848  13 Hg 3.60-3.99
Rb  0.6076  0.2500  0.2152  13 Hg 3.60-3.99
Hg  0.2251  0.4386  0.4501  1 Cd 2.95, 4 Hg 3.01-3.21
Hg  0.7749  0.5614  0.5499  1 Cd 2.95, 4 Hg 3.01-3.21
Hg  0.0000  0.5000  0.0000  2 Cd 2.97
Hg  0.2251  0.0614  0.4501  1 Cd 2.95, 4 Hg 3.01-3.21
Hg  0.7749  0.9386  0.5499  1 Cd 2.95, 4 Hg 3.01-3.21
Hg  0.0000  0.0000  0.0000  2 Cd 2.97
Hg  0.6062  0.7500  0.2125  2 Cd 2.96, 2 Hg 3.21
Hg  0.3938  0.2500  0.7875  2 Cd 2.96, 2 Hg 3.21

E_form, eV/atom: -0.1244
SG: Cmcm (63)
Relative energy among the computed polymorphs, meV/atom: 8

=====

| no. | E (eV/cell) |
| --- | --- |
| 1 | -11.484 |
| 2 | -44.264 |
| 3 | -7.672 |